Entry 1:
{"formula": "ZnCd2As", "functional": "GGA-PBE", "state": "optimized geometry", "polymorph_energy_mev_per_atom": 63.1, "crystal_system": "orthorhombic", "lattice": [[-1.413, 2.624, 5.673], [1.413, -2.624, 5.673], [1.413, 2.624, -5.673]], "species": ["Zn", "Cd", "Cd", "As"], "frac_coords": [[0.000, 0.000, 0.000], [0.256, 0.756, 0.500], [0.744, 0.244, 0.500], [0.500, 0.500, 0.000]]}

Entry 2:
{"formula": "ErU2P4", "functional": "GGA-PBE", "state": "optimized geometry", "crystal_system": "orthorhombic", "lattice": [[1.958, -6.573, 0.000], [1.958, 6.573, 0.000], [0.000, 0.000, 12.312]], "species": ["Er", "Er", "U", "U", "U", "U", "P", "P", "P", "P", "P", "P", "P", "P"], "frac_coords": [[0.115, 0.885, 0.750], [0.885, 0.115, 0.250], [0.368, 0.632, 0.566], [0.368, 0.632, 0.934], [0.632, 0.368, 0.066], [0.632, 0.368, 0.434], [0.000, 0.000, 0.000], [0.000, 0.000, 0.500], [0.265, 0.735, 0.126], [0.265, 0.735, 0.374], [0.468, 0.532, 0.750], [0.532, 0.468, 0.250], [0.735, 0.265, 0.626], [0.735, 0.265, 0.874]]}

no.,total energy (eV for the cell shown),calculated formation energy (eV/atom)
1,-7.17,0.147
2,-108.82,-0.804